Version i
BaHg4Pb: optimized geometry, PBE.

Values from the calculation:
Calculated volume   179.4 Å³ per cell
SG   No. 10
Total magnetization   0.0 μB/f.u.

Cell lengths 5.7197, 5.3369, 6.4918 Å; angles 90.00, 115.16, 90.00 degrees
Fractional positions:
Ba  0.0000  0.0000  0.0000
Hg  0.1854  0.5000  0.3680
Hg  0.3214  0.0000  0.6404
Hg  0.6786  0.0000  0.3596
Hg  0.8146  0.5000  0.6320
Pb  0.5000  0.5000  0.0000

Version ii
BaHg4Pb: optimized geometry, PBE.

Values from the calculation:
Calculated volume   178.4 Å³ per cell
SG   No. 216
Total magnetization   0.0 μB/f.u.

Cell lengths 6.3183, 6.3183, 6.3183 Å; angles 60.00, 60.00, 60.00 degrees
Fractional positions:
Ba  0.0000  0.0000  0.0000
Hg  0.3757  0.3757  0.3757
Hg  0.3757  0.3757  0.8728
Hg  0.3757  0.8728  0.3757
Hg  0.8728  0.3757  0.3757
Pb  0.7500  0.7500  0.7500

Version iii
BaHg4Pb: optimized geometry, PBE.

Values from the calculation:
Calculated volume   390.1 Å³ per cell
SG   No. 63
Total magnetization   0.0 μB/f.u.

Cell lengths 9.5182, 9.5182, 8.1308 Å; angles 90.00, 90.00, 148.02 degrees
Fractional positions:
Ba  0.1167  0.8833  0.7500
Ba  0.8833  0.1167  0.2500
Hg  0.0686  0.9314  0.2500
Hg  0.2696  0.7304  0.0782
Hg  0.2696  0.7304  0.4218
Hg  0.5000  0.5000  0.0000
Hg  0.5000  0.5000  0.5000
Hg  0.7304  0.2696  0.5782
Hg  0.7304  0.2696  0.9218
Hg  0.9314  0.0686  0.7500
Pb  0.3455  0.6545  0.7500
Pb  0.6545  0.3455  0.2500

Which of them is the most stable? Correct choice: version i.

Version i
BaHg2PdPb: optimized geometry, PBE.

Values from the calculation:
Calculated volume   143.5 Å³ per cell
SG   No. 44
Total magnetization   0.0 μB/f.u.

Cell lengths 7.2034, 7.2034, 7.2034 Å; angles 143.12, 139.86, 55.64 degrees
Fractional positions:
Ba  0.0000  0.0000  0.0000
Hg  0.6059  0.6059  0.0000
Hg  0.7770  0.2770  0.5000
Pd  0.3901  0.3901  0.0000
Pb  0.2611  0.7611  0.5000

Version ii
BaHg2PdPb: optimized geometry, PBE.

Values from the calculation:
Calculated volume   153.9 Å³ per cell
SG   No. 123
Total magnetization   0.0 μB/f.u.

Cell lengths 5.3494, 5.3494, 5.3782 Å; angles 90.00, 90.00, 90.00 degrees
Fractional positions:
Ba  0.0000  0.0000  0.0000
Hg  0.0000  0.5000  0.5000
Hg  0.5000  0.0000  0.5000
Pd  0.5000  0.5000  0.5000
Pb  0.5000  0.5000  0.0000

Which of them is the most stable? Correct choice: version i.

Version i
BaHg2PtPb: optimized geometry, PBE.

Values from the calculation:
Calculated volume   155.7 Å³ per cell
SG   No. 123
Total magnetization   0.0 μB/f.u.

Cell lengths 5.3447, 5.3447, 5.4520 Å; angles 90.00, 90.00, 90.00 degrees
Fractional positions:
Ba  0.0000  0.0000  0.0000
Hg  0.0000  0.5000  0.5000
Hg  0.5000  0.0000  0.5000
Pt  0.5000  0.5000  0.5000
Pb  0.5000  0.5000  0.0000

Version ii
BaHg2PtPb: optimized geometry, PBE.

Values from the calculation:
Calculated volume   143.4 Å³ per cell
SG   No. 44
Total magnetization   0.0 μB/f.u.

Cell lengths 7.2127, 7.2127, 7.2127 Å; angles 143.22, 139.99, 55.47 degrees
Fractional positions:
Ba  0.0000  0.0000  0.0000
Hg  0.6107  0.6107  0.0000
Hg  0.7781  0.2781  0.5000
Pt  0.3958  0.3958  0.0000
Pb  0.2652  0.7652  0.5000

Which of them is the most stable? Correct choice: version ii.

Version i
BaHg3Pd3: optimized geometry, PBE.

Values from the calculation:
Calculated volume   421.0 Å³ per cell
SG   No. 223
Total magnetization   0.0 μB/f.u.

Cell lengths 7.4949, 7.4949, 7.4949 Å; angles 90.00, 90.00, 90.00 degrees
Fractional positions:
Ba  0.0000  0.0000  0.0000
Ba  0.5000  0.5000  0.5000
Hg  0.0000  0.2500  0.5000
Hg  0.0000  0.7500  0.5000
Hg  0.2500  0.5000  0.0000
Hg  0.5000  0.0000  0.2500
Hg  0.5000  0.0000  0.7500
Hg  0.7500  0.5000  0.0000
Pd  0.0000  0.5000  0.2500
Pd  0.0000  0.5000  0.7500
Pd  0.2500  0.0000  0.5000
Pd  0.5000  0.2500  0.0000
Pd  0.5000  0.7500  0.0000
Pd  0.7500  0.0000  0.5000

Version ii
BaHg3Pd3: optimized geometry, PBE.

Values from the calculation:
Calculated volume   322.4 Å³ per cell
SG   No. 148
Total magnetization   0.0 μB/f.u.

Cell lengths 7.9334, 7.9334, 7.9334 Å; angles 56.25, 56.25, 56.25 degrees
Fractional positions:
Ba  0.1474  0.1474  0.1474
Ba  0.8526  0.8526  0.8526
Hg  0.0990  0.2252  0.5691
Hg  0.2252  0.5691  0.0990
Hg  0.4309  0.9010  0.7748
Hg  0.5691  0.0990  0.2252
Hg  0.7748  0.4309  0.9010
Hg  0.9010  0.7748  0.4309
Pd  0.2088  0.4727  0.6384
Pd  0.3616  0.7912  0.5273
Pd  0.4727  0.6384  0.2088
Pd  0.5273  0.3616  0.7912
Pd  0.6384  0.2088  0.4727
Pd  0.7912  0.5273  0.3616

Which of them is the most stable? Correct choice: version ii.